[1]
Crystalline PmUSn at its relaxed geometry. Source: OQMD, functional PBE.

abc: 5.1916 5.1916 5.1916
angles: 60.00 60.00 60.00
Positions (direct):
1 Pm 0.0000 0.0000 0.0000
2 U 0.2500 0.2500 0.2500
3 Sn 0.5000 0.5000 0.5000

Computed properties:
Magnetic moment (μB/atom): 1.5905
Raw total energy (eV/atom): -6.00

[2]
Crystalline Dy3Er2Lu2Ni2Te2 at its relaxed geometry. Source: OQMD, functional PBE.

abc: 9.2411 9.2411 9.2411
angles: 156.12 67.10 118.34
Positions (direct):
1 Dy 0.0000 0.0000 0.0000
2 Dy 0.3089 0.6236 0.6852
3 Dy 0.9384 0.6236 0.3148
4 Er 0.6242 0.2705 0.3537
5 Er 0.9168 0.2705 0.6463
6 Lu 0.2836 0.4181 0.8655
7 Lu 0.5525 0.4181 0.1345
8 Ni 0.1676 0.9306 0.2370
9 Ni 0.6935 0.9306 0.7630
10 Te 0.2685 0.7685 0.5000
11 Te 0.6601 0.6601 0.0000

Computed properties:
Magnetic moment (μB/atom): 0.0010
Raw total energy (eV/atom): -5.16

[3]
Crystalline TbAsAuO at its relaxed geometry. Source: OQMD, functional PBE.

abc: 5.8686 5.8686 4.7058
angles: 90.00 90.00 90.00
Positions (direct):
1 Tb 0.2500 0.7500 0.0000
2 Tb 0.7500 0.2500 0.0000
3 As 0.2500 0.2500 0.0068
4 As 0.7500 0.7500 0.9932
5 Au 0.2500 0.2500 0.5069
6 Au 0.7500 0.7500 0.4931
7 O 0.2500 0.7500 0.5000
8 O 0.7500 0.2500 0.5000

Computed properties:
Magnetic moment (μB/atom): 0.0004
Raw total energy (eV/atom): -5.29

[4]
Crystalline Y2SiAg2Ge at its relaxed geometry. Source: OQMD, functional PBE.

abc: 4.4351 4.4351 7.4801
angles: 90.00 90.00 120.00
Positions (direct):
1 Y 0.0000 0.0000 0.2482
2 Y 0.0000 0.0000 0.7518
3 Si 0.6667 0.3333 0.0000
4 Ag 0.3333 0.6667 0.0000
5 Ag 0.6667 0.3333 0.5000
6 Ge 0.3333 0.6667 0.5000

Computed properties:
Magnetic moment (μB/atom): 0.0016
Raw total energy (eV/atom): -5.34

[5]
Crystalline SrGd at its relaxed geometry. Source: OQMD, functional PBE.

abc: 3.8143 3.8143 6.3638
angles: 90.00 90.00 120.00
Positions (direct):
1 Sr 0.0000 0.0000 0.0000
2 Gd 0.3333 0.6667 0.5000

Computed properties:
Magnetic moment (μB/atom): 0.2660
Raw total energy (eV/atom): -2.94

[6]
Crystalline Al5Re7 at its relaxed geometry. Source: OQMD, functional PBE.

abc: 5.0465 5.0465 16.9136
angles: 90.00 90.00 120.00
Positions (direct):
1 Al 0.1632 0.3265 0.2500
2 Al 0.1632 0.8368 0.2500
3 Al 0.3265 0.1632 0.7500
4 Al 0.3333 0.6667 0.6425
5 Al 0.3333 0.6667 0.8575
6 Al 0.6667 0.3333 0.1425
7 Al 0.6667 0.3333 0.3575
8 Al 0.6735 0.8368 0.2500
9 Al 0.8368 0.1632 0.7500
10 Al 0.8368 0.6735 0.7500
11 Re 0.0000 0.0000 0.1115
12 Re 0.0000 0.0000 0.3885
13 Re 0.0000 0.0000 0.6115
14 Re 0.0000 0.0000 0.8885
15 Re 0.0000 0.5000 0.0000
16 Re 0.0000 0.5000 0.5000
17 Re 0.3333 0.6667 0.1293
18 Re 0.3333 0.6667 0.3707
19 Re 0.5000 0.0000 0.0000
20 Re 0.5000 0.0000 0.5000
21 Re 0.5000 0.5000 0.0000
22 Re 0.5000 0.5000 0.5000
23 Re 0.6667 0.3333 0.6293
24 Re 0.6667 0.3333 0.8707

Computed properties:
Magnetic moment (μB/atom): 0.0000
Raw total energy (eV/atom): -8.52

[7]
Crystalline HoBeMo at its relaxed geometry. Source: OQMD, functional PBE.

abc: 4.2840 4.2840 4.2840
angles: 60.00 60.00 60.00
Positions (direct):
1 Ho 0.0000 0.0000 0.0000
2 Be 0.2500 0.2500 0.2500
3 Mo 0.5000 0.5000 0.5000

Computed properties:
Magnetic moment (μB/atom): 0.1592
Raw total energy (eV/atom): -5.77

[8]
Crystalline TbDyCoSn2 at its relaxed geometry. Source: OQMD, functional PBE.

abc: 5.8793 5.8793 10.8398
angles: 114.61 114.61 44.06
Positions (direct):
1 Tb 0.0036 0.0036 0.1688
2 Tb 0.9964 0.9964 0.8312
3 Dy 0.1869 0.1869 0.6245
4 Dy 0.8131 0.8131 0.3755
5 Co 0.2776 0.2776 0.1693
6 Co 0.7224 0.7224 0.8307
7 Sn 0.3366 0.3366 0.9449
8 Sn 0.4761 0.4761 0.6221
9 Sn 0.5239 0.5239 0.3779
10 Sn 0.6634 0.6634 0.0551

Computed properties:
Magnetic moment (μB/atom): 0.0002
Raw total energy (eV/atom): -5.46